[1]
The following is a GGA-PBE calculation of CuTe2RhN after structural relaxation, from the Alexandria database.

Values from the calculation:
- ρ (kg/m3) = 7671
- space group = P4/mmm (123)
- ΔE_f (raw) (eV/atom) = 0.841
- total magnetization (μB per cell) = 0.54

abc: 5.236 5.236 3.440
angles: 90.00 90.00 90.00
Positions (direct):
Rh: 0.500 0.500 0.500
Te: 0.000 0.500 0.000
Te: 0.500 0.000 0.000
N: 0.000 0.000 0.500
Cu: 0.000 0.000 0.000



[2]
The following is a GGA-PBE calculation of CeZr3 after structural relaxation, from the Alexandria database.

Values from the calculation:
- ρ (kg/m3) = 7138
- space group = Fm-3m (225)
- calculated formation energy (eV/atom) = 0.14
- total magnetization (μB per cell) = 0.01

abc: 5.144 5.144 5.144
angles: 60.00 60.00 60.00
Positions (direct):
Zr: 0.750 0.750 0.750
Zr: 0.000 0.000 0.000
Zr: 0.250 0.250 0.250
Ce: 0.500 0.500 0.500



[3]
The following is a GGA-PBE calculation of Ba2LiPt after structural relaxation, from the Alexandria database.

Values from the calculation:
- ρ (kg/m3) = 5722
- space group = P4/mmm (123)
- calculated formation energy (eV/atom) = -0.36
- total magnetization (μB per cell) = 0.00

abc: 3.984 3.987 8.707
angles: 90.00 90.00 90.00
Positions (direct):
Pt: 0.500 0.500 0.750
Ba: 0.000 0.000 0.543
Ba: 0.000 0.000 0.957
Li: 0.500 0.500 0.250



We obtain electronic total energy values of -21.9 -31.0 -13.3 eV for the cell shown for the records listed above, in that order.